Entry 1:
The following is a PBE calculation of a relaxed structure of LaIn2Tc2, from the Alexandria database.

a b c (Å): 4.692 4.692 6.223
angles (deg): 67.85 67.85 90.00
Fractional coordinates of all 5 atoms:
In (0.750, 0.250, 0.500)
In (0.250, 0.750, 0.500)
Tc (0.395, 0.395, 0.209)
Tc (0.605, 0.605, 0.791)
La (0.000, 0.000, 0.000)

## Properties
- Energy above the most stable polymorph in this dataset: 0 meV/atom
- DFT formation energy: 24.4 meV/atom

---

Entry 2:
The following is a PBE calculation of a relaxed structure of GdScAl2, from the Alexandria database.

a b c (Å): 3.500 3.500 7.043
angles (deg): 90.00 90.00 90.00
Fractional coordinates of all 4 atoms:
Sc (0.500, 0.500, 0.000)
Gd (0.500, 0.500, 0.500)
Al (0.000, 0.000, 0.777)
Al (0.000, 0.000, 0.223)

## Properties
- Energy above the most stable polymorph in this dataset: 0 meV/atom
- DFT formation energy: -423.4 meV/atom

---

Entry 3:
The following is a PBE calculation of a relaxed structure of LaY2Rh, from the Alexandria database.

a b c (Å): 5.345 4.460 4.460
angles (deg): 90.00 90.00 90.00
Fractional coordinates of all 4 atoms:
La (0.500, 0.500, 0.000)
Rh (0.500, 0.000, 0.500)
Y (0.000, 0.000, 0.000)
Y (0.000, 0.500, 0.500)

## Properties
- Energy above the most stable polymorph in this dataset: 384 meV/atom
- DFT formation energy: -112.3 meV/atom

---

Entry 4:
The following is a PBE calculation of a relaxed structure of V2ReTe6, from the Alexandria database.

a b c (Å): 6.745 8.609 8.609
angles (deg): 91.38 99.43 99.43
Fractional coordinates of all 18 atoms:
V (0.355, 0.671, 0.836)
V (0.145, 0.164, 0.329)
V (0.645, 0.329, 0.164)
V (0.855, 0.836, 0.671)
Re (0.250, 0.102, 0.898)
Re (0.750, 0.898, 0.102)
Te (0.488, 0.667, 0.548)
Te (0.012, 0.452, 0.333)
Te (0.512, 0.333, 0.452)
Te (0.988, 0.548, 0.667)
Te (0.984, 0.862, 0.377)
Te (0.516, 0.623, 0.138)
Te (0.016, 0.138, 0.623)
Te (0.484, 0.377, 0.862)
Te (0.049, 0.807, 0.961)
Te (0.451, 0.039, 0.193)
Te (0.951, 0.193, 0.039)
Te (0.549, 0.961, 0.807)

## Properties
- Uncorrected formation energy: 0.042 eV/atom